Material: Cd2Rh3Pb
Method: DFT, PBE
State: optimized geometry

Results
E	-4.71	eV/atom
DOS at the Fermi energy	4.577	states/eV per cell
energy of formation from the pure elements	-107	meV/atom

Unit cell a=4.6203 b=13.8828 c=6.5039 alpha=90.00 beta=90.00 gamma=90.00
Closest atoms and distances in Å follow each position.
Space group Cmmm (No. 65)
One atom of each set of equivalent atoms:
1 Cd 0.0000 0.0000 0.0000 [2 per cell]  8 Rh 2.82-2.89
2 Cd 0.0000 0.0000 0.5000 [2 per cell]  8 Rh 2.83-2.84
3 Cd 0.0000 0.3332 0.0000 [4 per cell]  8 Rh 2.82-2.85
4 Rh 0.0000 0.1699 0.2576 [8 per cell]  3 Pb 2.80-2.83, 5 Cd 2.82-2.89
5 Rh 0.0000 0.5000 0.2479 [4 per cell]  2 Pb 2.77, 6 Cd 2.82-2.83
6 Pb 0.0000 0.3396 0.5000 [4 per cell]  8 Rh 2.77-2.83

=====

Material: CoCuSb2
Method: DFT, PBE
State: optimized geometry

Results
E	-4.73	eV/atom
DOS at the Fermi energy	3.622	states/eV per cell
raw formation energy	3.1	kcal/mol of atoms

Unit cell a=3.2266 b=3.2266 c=7.5465 alpha=90.00 beta=90.00 gamma=90.00
Closest atoms and distances in Å follow each position.
Space group P4mm (No. 99)
One atom of each set of equivalent atoms:
1 Co 0.0000 0.0000 0.0000 [1 per cell]  4 Cu 2.61, 5 Sb 2.70-2.80
2 Cu 0.5000 0.5000 0.1674 [1 per cell]  4 Co 2.61, 5 Sb 2.70-2.75
3 Sb 0.0000 0.0000 0.3710 [1 per cell]  4 Cu 2.75, 1 Co 2.80
4 Sb 0.5000 0.5000 0.8096 [1 per cell]  4 Co 2.70, 1 Cu 2.70

=====

Material: Ti2SnHIr
Method: DFT, PBE
State: optimized geometry

Results
E	-6.86	eV/atom
DOS at the Fermi energy	4.144	states/eV per cell

Unit cell a=4.1319 b=4.1319 c=4.0287 alpha=90.00 beta=90.00 gamma=90.00
Closest atoms and distances in Å follow each position.
Space group P4/mmm (No. 123)
One atom of each set of equivalent atoms:
1 Ti 0.0000 0.5000 0.0000 [2 per cell]  2 H 2.07
2 Sn 0.0000 0.0000 0.5000 [1 per cell]  8 Ti 2.89, 4 Ir 2.92
3 H 0.5000 0.5000 0.0000 [1 per cell]  2 Ir 2.01, 4 Ti 2.07
4 Ir 0.5000 0.5000 0.5000 [1 per cell]  2 H 2.01

=====

Material: CaPuIn2
Method: DFT, PBE
State: optimized geometry

Results
E	-5.57	eV/atom
DOS at the Fermi energy	27.734	states/eV per cell
energy of formation from the pure elements	-119	meV/atom

Unit cell a=3.5350 b=3.5350 c=31.9012 alpha=90.00 beta=90.00 gamma=120.00
Closest atoms and distances in Å follow each position.
Space group R-3m (No. 166, hexagonal axes)
One atom of each set of equivalent atoms:
1 Ca 0.0000 0.0000 0.0000 [3 per cell]  6 In 3.33, 6 Ca 3.53
2 Pu 0.0000 0.0000 0.5000 [3 per cell]  6 In 3.37, 6 Pu 3.53
3 In 0.0000 0.0000 0.2509 [6 per cell]  3 Ca 3.33, 3 Pu 3.37, 6 In 3.53

=====

Material: ScAl2SbO
Method: DFT, PBE
State: optimized geometry

Results
E	-4.32	eV/atom
DOS at the Fermi energy	4.511	states/eV per cell
raw formation energy	6.0	kcal/mol of atoms

Unit cell a=5.4331 b=5.4331 c=3.9987 alpha=90.00 beta=90.00 gamma=90.00
Closest atoms and distances in Å follow each position.
Space group P4/mmm (No. 123)
One atom of each set of equivalent atoms:
1 Sc 0.0000 0.0000 0.0000 [1 per cell]  8 Al 3.37
2 Al 0.0000 0.5000 0.5000 [2 per cell]  2 Sb 2.72
3 Sb 0.5000 0.5000 0.5000 [1 per cell]  2 O 2.00
4 O 0.5000 0.5000 0.0000 [1 per cell]  2 Sb 2.00

=====

Material: BaMnRe2
Method: DFT, PBE
State: optimized geometry

Results
E	-7.28	eV/atom
DOS at the Fermi energy	4.766	states/eV per cell
energy of formation from the pure elements	1721	meV/atom

Unit cell a=4.6976 b=4.6976 c=3.3748 alpha=90.00 beta=90.00 gamma=90.00
Closest atoms and distances in Å follow each position.
Space group P4/mmm (No. 123)
One atom of each set of equivalent atoms:
1 Ba 0.0000 0.0000 0.0000 [1 per cell]  8 Re 2.89
2 Mn 0.5000 0.5000 0.0000 [1 per cell]  8 Re 2.89
3 Re 0.0000 0.5000 0.5000 [2 per cell]  4 Ba 2.89, 4 Mn 2.89

=====

Material: NaPm3Hg12
Method: DFT, PBE
State: optimized geometry

Results
E	-1.51	eV/atom
DOS at the Fermi energy	10.239	states/eV per cell
energy of formation from the pure elements	-315	meV/atom

Unit cell a=4.6668 b=4.6668 c=18.6812 alpha=90.00 beta=90.00 gamma=90.00
Closest atoms and distances in Å follow each position.
Space group P4/mmm (No. 123)
One atom of each set of equivalent atoms:
1 Na 0.0000 0.0000 0.0000 [1 per cell]  12 Hg 3.28-3.30
2 Pm 0.0000 0.0000 0.2439 [2 per cell]  12 Hg 3.24-3.37
3 Pm 0.0000 0.0000 0.5000 [1 per cell]  12 Hg 3.30-3.31
4 Hg 0.0000 0.5000 0.1238 [4 per cell]  2 Pm 3.24, 8 Hg 3.28-3.34, 2 Na 3.28
5 Hg 0.0000 0.5000 0.3743 [4 per cell]  8 Hg 3.27-3.31, 4 Pm 3.31-3.37
6 Hg 0.5000 0.5000 0.0000 [1 per cell]  8 Hg 3.28, 4 Na 3.30
7 Hg 0.5000 0.5000 0.2519 [2 per cell]  8 Hg 3.27-3.34, 4 Pm 3.30
8 Hg 0.5000 0.5000 0.5000 [1 per cell]  4 Pm 3.30, 8 Hg 3.31

=====

Material: MnTc2AuN
Method: DFT, PBE
State: optimized geometry

Results
E	-8.30	eV/atom
DOS at the Fermi energy	2.643	states/eV per cell
raw formation energy	0.0	kcal/mol of atoms

Unit cell a=4.0800 b=4.0800 c=3.9764 alpha=90.00 beta=90.00 gamma=90.00
Closest atoms and distances in Å follow each position.
Space group P4/mmm (No. 123)
One atom of each set of equivalent atoms:
1 Mn 0.0000 0.0000 0.0000 [1 per cell]  2 N 1.99
2 Tc 0.0000 0.5000 0.5000 [2 per cell]  2 N 2.04
3 Au 0.5000 0.5000 0.0000 [1 per cell]  8 Tc 2.85, 4 Mn 2.88
4 N 0.0000 0.0000 0.5000 [1 per cell]  2 Mn 1.99, 4 Tc 2.04